# SiOs2Ru

An optimized crystal structure of SiOs2Ru (PBE, the Alexandria database).

## Properties
The calculation puts the formation energy without anion corrections at 0.2 eV per formula unit. As for the total energy: -9.2511 eV per atom. The total magnetization comes out at 0.000 μB per formula unit.

POSCAR file:
```
SiOs2Ru
1.0
2.787 0.000 0.000
0.000 3.767 0.000
0.000 0.000 5.328
Os Ru Si
2 1 1
Direct
0.000 0.000 0.015 Os
0.500 0.500 0.224 Os
0.000 0.000 0.532 Ru
0.500 0.500 0.729 Si
```